Entry 1:
This record from Alexandria describes a relaxed structure of Pu3GaSn2. The functional is GGA-PBE.

- uncorrected energy (Ry per atom) = -0.6856
- Fermi-level density of states (states/eV per cell) = 23.442
- magnetization (μB/cell) = 16.9

Geometry as CIF:
```
data_Pu3GaSn2
_chemical_formula_sum 'Pu3 Ga1 Sn2'
_symmetry_space_group_name_H-M 'P 4/m m m'
_symmetry_Int_Tables_number 123
_symmetry_space_group_name_Hall '-P 4 2'
_cell_length_a 4.072
_cell_length_b 4.072
_cell_length_c 8.960
_cell_angle_alpha 90.00
_cell_angle_beta 90.00
_cell_angle_gamma 90.00
loop_
_atom_site_label
_atom_site_type_symbol
_atom_site_fract_x
_atom_site_fract_y
_atom_site_fract_z
Pu1 Pu 0.000 0.000 0.000
Pu2 Pu 0.000 0.000 0.340
Ga1 Ga 0.500 0.500 0.500
Sn1 Sn 0.500 0.500 0.174
```

=====

Entry 2:
This record from Alexandria describes a relaxed structure of PuGaSn2. The functional is GGA-PBE.

- uncorrected energy (Ry per atom) = -0.4803
- excess energy over the best structure of this formula in the dataset (meV per atom) = 169
- Fermi-level density of states (states/eV per cell) = 7.900
- magnetization (μB/cell) = 5.8

Geometry as CIF:
```
data_PuGaSn2
_chemical_formula_sum 'Pu1 Ga1 Sn2'
_symmetry_space_group_name_H-M 'P 4/m m m'
_symmetry_Int_Tables_number 123
_symmetry_space_group_name_Hall '-P 4 2'
_cell_length_a 3.811
_cell_length_b 3.811
_cell_length_c 6.724
_cell_angle_alpha 90.00
_cell_angle_beta 90.00
_cell_angle_gamma 90.00
loop_
_atom_site_label
_atom_site_type_symbol
_atom_site_fract_x
_atom_site_fract_y
_atom_site_fract_z
Pu1 Pu 0.000 0.000 0.000
Ga1 Ga 0.000 0.000 0.500
Sn1 Sn 0.500 0.500 0.280
```

=====

Copy entry 2 word for word.
This record from Alexandria describes a relaxed structure of PuGaSn2. The functional is GGA-PBE.

- uncorrected energy (Ry per atom) = -0.4803
- excess energy over the best structure of this formula in the dataset (meV per atom) = 169
- Fermi-level density of states (states/eV per cell) = 7.900
- magnetization (μB/cell) = 5.8

Geometry as CIF:
```
data_PuGaSn2
_chemical_formula_sum 'Pu1 Ga1 Sn2'
_symmetry_space_group_name_H-M 'P 4/m m m'
_symmetry_Int_Tables_number 123
_symmetry_space_group_name_Hall '-P 4 2'
_cell_length_a 3.811
_cell_length_b 3.811
_cell_length_c 6.724
_cell_angle_alpha 90.00
_cell_angle_beta 90.00
_cell_angle_gamma 90.00
loop_
_atom_site_label
_atom_site_type_symbol
_atom_site_fract_x
_atom_site_fract_y
_atom_site_fract_z
Pu1 Pu 0.000 0.000 0.000
Ga1 Ga 0.000 0.000 0.500
Sn1 Sn 0.500 0.500 0.280
```

=====

Please write out number 1 again, unchanged.
This record from Alexandria describes a relaxed structure of Pu3GaSn2. The functional is GGA-PBE.

- uncorrected energy (Ry per atom) = -0.6856
- Fermi-level density of states (states/eV per cell) = 23.442
- magnetization (μB/cell) = 16.9

Geometry as CIF:
```
data_Pu3GaSn2
_chemical_formula_sum 'Pu3 Ga1 Sn2'
_symmetry_space_group_name_H-M 'P 4/m m m'
_symmetry_Int_Tables_number 123
_symmetry_space_group_name_Hall '-P 4 2'
_cell_length_a 4.072
_cell_length_b 4.072
_cell_length_c 8.960
_cell_angle_alpha 90.00
_cell_angle_beta 90.00
_cell_angle_gamma 90.00
loop_
_atom_site_label
_atom_site_type_symbol
_atom_site_fract_x
_atom_site_fract_y
_atom_site_fract_z
Pu1 Pu 0.000 0.000 0.000
Pu2 Pu 0.000 0.000 0.340
Ga1 Ga 0.500 0.500 0.500
Sn1 Sn 0.500 0.500 0.174
```

=====

- Which formula does entry 2 have?
  PuGaSn2

=====

- Among the records above, which one has the highest Fermi-level density of states?
  Pu3GaSn2